Li2Ca2Si2O7 | meta-GGA SCAN | PBEsol geometry

Properties
ΔE_f (raw) (eV per formula unit): -39.95
Energy (eV/f.u.): -127.70

Lattice parameters (Å, degrees): 5.085 5.085 41.201 90.00 90.00 120.00
Element x y z (fractional)
Li (0.712, 0.300, 0.474)
Li (0.587, 0.288, 0.141)
Li (0.700, 0.413, 0.807)
Li (0.288, 0.700, 0.974)
Li (0.413, 0.712, 0.641)
Li (0.300, 0.587, 0.307)
Li (0.300, 0.712, 0.526)
Li (0.288, 0.587, 0.859)
Li (0.413, 0.700, 0.193)
Li (0.700, 0.288, 0.026)
Li (0.712, 0.413, 0.359)
Li (0.587, 0.300, 0.693)
Ca (0.038, 0.038, 0.500)
Ca (0.000, 0.962, 0.167)
Ca (0.962, 0.000, 0.833)
Ca (0.962, 0.962, 0.000)
Ca (0.000, 0.038, 0.667)
Ca (0.038, 0.000, 0.333)
Ca (0.074, 0.037, 0.417)
Ca (0.963, 0.926, 0.083)
Ca (0.963, 0.037, 0.750)
Ca (0.926, 0.963, 0.917)
Ca (0.037, 0.074, 0.583)
Ca (0.037, 0.963, 0.250)
Si (0.373, 0.645, 0.454)
Si (0.273, 0.627, 0.121)
Si (0.355, 0.727, 0.788)
Si (0.627, 0.355, 0.954)
Si (0.727, 0.373, 0.621)
Si (0.645, 0.273, 0.288)
Si (0.645, 0.373, 0.546)
Si (0.627, 0.273, 0.879)
Si (0.727, 0.355, 0.212)
Si (0.355, 0.627, 0.046)
Si (0.373, 0.727, 0.379)
Si (0.273, 0.645, 0.712)
O (0.220, 0.610, 0.417)
O (0.390, 0.780, 0.083)
O (0.390, 0.610, 0.750)
O (0.780, 0.390, 0.917)
O (0.610, 0.220, 0.583)
O (0.610, 0.390, 0.250)
O (0.381, 0.331, 0.459)
O (0.950, 0.619, 0.126)
O (0.669, 0.050, 0.792)
O (0.619, 0.669, 0.959)
O (0.050, 0.381, 0.626)
O (0.331, 0.950, 0.292)
O (0.331, 0.381, 0.541)
O (0.619, 0.950, 0.874)
O (0.050, 0.669, 0.208)
O (0.669, 0.619, 0.041)
O (0.381, 0.050, 0.374)
O (0.950, 0.331, 0.708)
O (0.711, 0.943, 0.455)
O (0.232, 0.289, 0.122)
O (0.057, 0.768, 0.789)
O (0.289, 0.057, 0.955)
O (0.768, 0.711, 0.622)
O (0.943, 0.232, 0.289)
O (0.943, 0.711, 0.545)
O (0.289, 0.232, 0.878)
O (0.768, 0.057, 0.211)
O (0.057, 0.289, 0.045)
O (0.711, 0.768, 0.378)
O (0.232, 0.943, 0.711)
O (0.653, 0.130, 0.521)
O (0.477, 0.347, 0.187)
O (0.870, 0.523, 0.854)
O (0.347, 0.870, 0.021)
O (0.523, 0.653, 0.687)
O (0.130, 0.477, 0.354)
O (0.130, 0.653, 0.479)
O (0.347, 0.477, 0.813)
O (0.523, 0.870, 0.146)
O (0.870, 0.347, 0.979)
O (0.653, 0.523, 0.313)
O (0.477, 0.130, 0.646)

---

LiCaOs | meta-GGA SCAN | PBEsol geometry

Properties
Formation energy from the elements (eV per atom): 0.596
Energy (eV/f.u.): -82.15

Lattice parameters (Å, degrees): 2.809 2.809 7.334 101.04 101.04 90.00
Site moments in Bohr magnetons follow the coordinates.
Element x y z (fractional)
Ca (0.980, 0.980, 0.960)  -0.01
Li (0.693, 0.693, 0.387)  0.00
Os (0.327, 0.327, 0.653)  0.62

---

Li3CaOs | meta-GGA SCAN | PBEsol geometry

Properties
Formation energy from the elements (eV per atom): 1.529
Energy (eV/f.u.): -81.07

Lattice parameters (Å, degrees): 4.258 4.258 4.258 90.00 90.00 90.00
Site moments in Bohr magnetons follow the coordinates.
Element x y z (fractional)
Ca (0.000, 0.000, 0.000)  -0.09
Os (0.500, 0.500, 0.500)  1.17
Li (0.000, 0.500, 0.000)  -0.02
Li (0.000, 0.000, 0.500)  -0.02
Li (0.500, 0.000, 0.000)  -0.02

---

LiCa2Os2 | meta-GGA SCAN | PBEsol geometry

Properties
Formation energy from the elements (eV per atom): 0.875
Energy (eV/f.u.): -161.10

Lattice parameters (Å, degrees): 5.498 5.553 5.498 119.67 90.00 119.67
Element x y z (fractional)
Ca (0.250, 0.500, 0.750)
Ca (0.750, 0.500, 0.250)
Li (0.000, 0.000, 0.000)
Os (0.645, 0.290, 0.645)
Os (0.355, 0.710, 0.355)